No. 1
Computed, not measured: crystalline TmScGa at its relaxed geometry at the GGA-PBE level of DFT.

```
TmScGa
1.0
0.000 3.369 3.369
3.369 0.000 3.369
3.369 3.369 0.000
Tm Sc Ga
1 1 1
direct
0.000 0.000 0.000
0.500 0.500 0.500
0.750 0.750 0.750
```

Space-group type: F-43m (216)
Theoretical density: 6.16 g cm⁻³
Final energy: -4.8634 eV/atom



No. 2
Computed, not measured: crystalline NaZnFeRe at its relaxed geometry at the GGA-PBE level of DFT.

```
NaZnFeRe
1.0
0.000 3.037 3.037
3.037 0.000 3.037
3.037 3.037 0.000
Na Zn Fe Re
1 1 1 1
direct
0.000 0.000 0.000
0.750 0.750 0.750
0.250 0.250 0.250
0.500 0.500 0.500
```

Space-group type: F-43m (216)
Theoretical density: 9.79 g cm⁻³
Final energy: -5.0984 eV/atom



No. 3
Computed, not measured: crystalline PmFePb at its relaxed geometry at the GGA-PBE level of DFT.

```
PmFePb
1.0
0.000 3.540 3.540
3.540 0.000 3.540
3.540 3.540 0.000
Pm Fe Pb
1 1 1
direct
0.000 0.000 0.000
0.750 0.750 0.750
0.250 0.250 0.250
```

Space-group type: F-43m (216)
Theoretical density: 7.64 g cm⁻³
Final energy: -4.8833 eV/atom



No. 4
Computed, not measured: crystalline OsBr2ClO at its relaxed geometry at the GGA-PBE level of DFT.

```
OsBr2ClO
1.0
6.540 -1.851 0.000
6.540 1.851 0.000
-5.515 0.000 9.816
Os Br Cl O
2 4 2 2
direct
0.115 0.115 0.181
0.885 0.885 0.819
0.109 0.109 0.395
0.330 0.330 0.297
0.670 0.670 0.703
0.891 0.891 0.605
0.100 0.100 0.955
0.900 0.900 0.045
0.387 0.387 0.823
0.613 0.613 0.177
```

Space-group type: C2/m (12)
Theoretical density: 5.61 g cm⁻³
Final energy: -4.7243 eV/atom



No. 5
Computed, not measured: crystalline Cs3Tm2I9 at its relaxed geometry at the GGA-PBE level of DFT.

```
Cs3Tm2I9
1.0
8.565 0.000 0.000
-4.282 7.417 0.000
0.000 0.000 21.731
Cs Tm I
6 4 18
direct
0.000 0.000 0.250
0.000 0.000 0.750
0.333 0.667 0.066
0.333 0.667 0.434
0.667 0.333 0.566
0.667 0.333 0.934
0.333 0.667 0.657
0.333 0.667 0.843
0.667 0.333 0.157
0.667 0.333 0.343
0.014 0.507 0.750
0.166 0.332 0.587
0.166 0.332 0.913
0.166 0.834 0.587
0.166 0.834 0.913
0.332 0.166 0.087
0.332 0.166 0.413
0.493 0.507 0.750
0.493 0.986 0.750
0.507 0.014 0.250
0.507 0.493 0.250
0.668 0.834 0.587
0.668 0.834 0.913
0.834 0.166 0.087
0.834 0.166 0.413
0.834 0.668 0.087
0.834 0.668 0.413
0.986 0.493 0.250
```

Space-group type: P6_3/mmc (194)
Theoretical density: 4.52 g cm⁻³
Final energy: -3.3047 eV/atom



No. 6
Computed, not measured: crystalline ScAgSO at its relaxed geometry at the GGA-PBE level of DFT.

```
ScAgSO
1.0
3.764 0.000 0.000
0.000 3.764 0.000
0.000 0.000 8.748
Sc Ag S O
2 2 2 2
direct
0.250 0.250 0.111
0.750 0.750 0.889
0.250 0.750 0.500
0.750 0.250 0.500
0.250 0.250 0.718
0.750 0.750 0.282
0.250 0.750 0.000
0.750 0.250 0.000
```

Space-group type: P4/nmm (129)
Theoretical density: 5.38 g cm⁻³
Final energy: -6.2934 eV/atom



No. 7
Computed, not measured: crystalline CsRbAg at its relaxed geometry at the GGA-PBE level of DFT.

```
CsRbAg
1.0
0.000 4.399 4.399
4.399 0.000 4.399
4.399 4.399 0.000
Cs Rb Ag
1 1 1
direct
0.000 0.000 0.000
0.250 0.250 0.250
0.750 0.750 0.750
```

Space-group type: F-43m (216)
Theoretical density: 3.18 g cm⁻³
Final energy: -1.2583 eV/atom



No. 8
Computed, not measured: crystalline CsHoHg at its relaxed geometry at the GGA-PBE level of DFT.

```
CsHoHg
1.0
0.000 3.871 3.871
3.871 0.000 3.871
3.871 3.871 0.000
Cs Ho Hg
1 1 1
direct
0.000 0.000 0.000
0.250 0.250 0.250
0.500 0.500 0.500
```

Space-group type: F-43m (216)
Theoretical density: 7.13 g cm⁻³
Final energy: -1.3199 eV/atom



Question: What is the final energy in the second record?
Answer: -5.0984 eV/atom



Question: Number 2 is which compound?
Answer: NaZnFeRe



Question: Look up the theoretical density of the sixth one.
Answer: 5.38 g cm⁻³



Question: What is the final energy in the fifth record?
Answer: -3.3047 eV/atom